No. 1
DFT (PBEsol) results for Ba2LiSb after structural relaxation.

Formation energy without anion corrections, eV/atom: -0.65
Total DFT energy (no corrections), eV for the cell shown: -26.87

abc: 4.8699 4.8759 12.7986
angles: 90.00 90.00 90.00
Last column: nearest neighbours and their distance in Å.
Space group Amm2 (No. 38)
Symmetry-distinct sites (fractional):
Ba 0.0000 0.0000 0.0000 x2  3 Sb 3.64-3.69, 4 Li 3.65
Ba 0.5000 0.0000 0.2807 x2  2 Li 3.42, 4 Sb 3.56
Li 0.5000 0.0000 0.5935 x2  2 Sb 2.87
Sb 0.0000 0.0000 0.7115 x2  2 Li 2.87



No. 2
DFT (PBEsol) results for HgPbAu after structural relaxation.

E_form, meV per atom: -36
Total DFT energy (no corrections), eV for the cell shown: -34.40

abc: 6.6945 6.6945 6.6945
angles: 90.00 90.00 90.00
Last column: nearest neighbours and their distance in Å.
Space group F-43m (No. 216)
Symmetry-distinct sites (fractional):
Hg 0.0000 0.0000 0.0000 x4  4 Au 2.90
Pb 0.0000 0.0000 0.5000 x4  4 Au 2.90
Au 0.2500 0.2500 0.2500 x4  4 Hg 2.90, 4 Pb 2.90



No. 3
DFT (PBEsol) results for ZnFe2 after structural relaxation.

E_form, meV per atom: 70
Total DFT energy (no corrections), eV for the cell shown: -77.19

abc: 2.4494 13.5017 4.1717
angles: 90.00 90.00 90.00
Last column: nearest neighbours and their distance in Å.
Space group Cmcm (No. 63)
Symmetry-distinct sites (fractional):
Zn 0.0000 0.1148 0.2500 x4  2 Zn 2.45, 10 Fe 2.51-2.57
Fe 0.0000 0.2176 0.7500 x4  8 Fe 2.45-2.57, 4 Zn 2.51-2.57
Fe 0.0000 0.4492 0.2500 x4  6 Fe 2.45-2.56, 6 Zn 2.55-2.57



No. 4
DFT (PBEsol) results for Cu3Ni2 after structural relaxation.

E_form, meV per atom: 89
Total DFT energy (no corrections), eV for the cell shown: -198.97

abc: 8.3889 12.0232 4.3430
angles: 90.00 90.00 90.00
Last column: nearest neighbours and their distance in Å.
Space group Fdd2 (No. 43)
Symmetry-distinct sites (fractional):
Cu 0.0000 0.0000 0.0000 x8  6 Ni 2.38-2.50, 4 Cu 2.45-2.54
Cu 0.0292 0.0998 0.4874 x16  6 Ni 2.40-2.66, 5 Cu 2.44-2.54
Ni 0.0173 0.2012 0.9663 x16  9 Cu 2.38-2.66, 2 Ni 2.49



No. 5
DFT (PBEsol) results for EuZn2P2 after structural relaxation.

E_form, meV per atom: -740
Total DFT energy (no corrections), eV for the cell shown: -29.01

abc: 4.0187 4.0187 6.7376
angles: 90.00 90.00 120.00
Last column: nearest neighbours and their distance in Å.
Space group P-3m1 (No. 164)
Symmetry-distinct sites (fractional):
Eu 0.0000 0.0000 0.0000 x1  6 P 2.93
Zn 0.3333 0.6667 0.6352 x2  4 P 2.42-2.49
P 0.3333 0.6667 0.2651 x2  4 Zn 2.42-2.49



No. 6
DFT (PBEsol) results for KMoP2O7 after structural relaxation.

Formation energy without anion corrections, eV/atom: -2.09
Total DFT energy (no corrections), eV for the cell shown: -336.94

abc: 7.3835 10.3723 8.3889
angles: 90.00 107.22 90.00
Last column: nearest neighbours and their distance in Å.
Space group P2_1/c (No. 14)
Symmetry-distinct sites (fractional):
K 0.1735 0.1739 0.0585 x4  5 O 2.72-2.96
Mo 0.2343 0.6000 0.2615 x4  6 O 2.04-2.10
P 0.1334 0.5996 0.8278 x4  4 O 1.50-1.62
P 0.4451 0.6395 0.6955 x4  4 O 1.52-1.63
O 0.0068 0.0034 0.2183 x4  1 P 1.53
O 0.0752 0.7322 0.7467 x4  1 P 1.54
O 0.1351 0.5959 0.0071 x4  1 P 1.50
O 0.3185 0.6065 0.5217 x4  1 P 1.52
O 0.3457 0.5688 0.8215 x4  2 P 1.62-1.63
O 0.3552 0.0839 0.7623 x4  1 P 1.52
O 0.4600 0.7167 0.2416 x4  1 P 1.54



No. 7
DFT (PBEsol) results for TlZnCo2 after structural relaxation.

E_form, meV per atom: 383
Total DFT energy (no corrections), eV for the cell shown: -36.31

abc: 3.9704 2.8912 10.1123
angles: 90.00 90.00 90.00
Last column: nearest neighbours and their distance in Å.
Space group Amm2 (No. 38)
Symmetry-distinct sites (fractional):
Tl 0.0000 0.0000 0.0000 x2  7 Co 2.66-2.80, 2 Tl 2.89
Zn 0.5000 0.0000 0.6761 x2  6 Co 2.49-2.61
Co 0.0000 0.0000 0.2634 x2  2 Co 2.29
Co 0.5000 0.0000 0.3762 x2  2 Co 2.29, 2 Zn 2.49



No. 8
DFT (PBEsol) results for MgAuO2 after structural relaxation.

Formation energy without anion corrections, eV/atom: -1.33
Total DFT energy (no corrections), eV for the cell shown: -64.35

abc: 3.0324 3.0324 18.1648
angles: 90.00 90.00 120.00
Last column: nearest neighbours and their distance in Å.
Space group R-3m (No. 166, hexagonal axes)
Symmetry-distinct sites (fractional):
Mg 0.0000 0.0000 0.0000 x3  6 O 2.05
Au 0.0000 0.0000 0.5000 x3  2 O 1.95
O 0.0000 0.0000 0.3925 x6  1 Au 1.95, 3 Mg 2.05



No. 9
DFT (PBEsol) results for SrCoW2 after structural relaxation.

E_form, meV per atom: 936
Total DFT energy (no corrections), eV for the cell shown: -100.34

abc: 3.1033 3.1033 26.3767
angles: 90.00 90.00 120.00
Last column: nearest neighbours and their distance in Å.
Space group R3m (No. 160, hexagonal axes)
Symmetry-distinct sites (fractional):
Sr 0.0000 0.0000 0.0000 x3  3 Co 3.02, 6 Sr 3.10, 3 W 3.31
Co 0.0000 0.0000 0.7589 x3  3 W 2.47
W 0.0000 0.0000 0.2278 x3  3 W 2.59
W 0.0000 0.0000 0.4903 x3  3 Co 2.47, 3 W 2.59



No. 10
DFT (PBEsol) results for KAlAg after structural relaxation.

E_form, meV per atom: 588
Total DFT energy (no corrections), eV for the cell shown: -27.09

abc: 6.9787 6.9787 6.9787
angles: 90.00 90.00 90.00
Last column: nearest neighbours and their distance in Å.
Space group F-43m (No. 216)
Symmetry-distinct sites (fractional):
K 0.0000 0.0000 0.0000 x4  4 Al 3.02
Al 0.2500 0.2500 0.2500 x4  4 K 3.02, 4 Ag 3.02
Ag 0.0000 0.0000 0.5000 x4  4 Al 3.02



No. 11
DFT (PBEsol) results for PbSe2O after structural relaxation.

Formation energy without anion corrections, eV/atom: 0.38
Total DFT energy (no corrections), eV for the cell shown: -46.33

abc: 4.1202 4.1202 20.1846
angles: 90.00 90.00 120.00
Last column: nearest neighbours and their distance in Å.
Space group R-3m (No. 166, hexagonal axes)
Symmetry-distinct sites (fractional):
Pb 0.0000 0.0000 0.0000 x3  2 Se 3.01
Se 0.0000 0.0000 0.1492 x6  3 O 2.40, 3 Se 2.48
O 0.0000 0.0000 0.5000 x3  6 Se 2.40



No. 12
DFT (PBEsol) results for B2PtAu after structural relaxation.

E_form, meV per atom: 366
Total DFT energy (no corrections), eV for the cell shown: -93.83

abc: 4.8526 4.8526 9.6125
angles: 90.00 90.00 90.00
Last column: nearest neighbours and their distance in Å.
Space group I-42d (No. 122)
Symmetry-distinct sites (fractional):
B 0.2312 0.2500 0.1250 x8  2 Pt 2.04, 2 Au 2.15
Pt 0.0000 0.0000 0.0000 x4  4 B 2.04
Au 0.0000 0.0000 0.5000 x4  4 B 2.15



No. 13
DFT (PBEsol) results for CuAgIr after structural relaxation.

E_form, meV per atom: 415
Total DFT energy (no corrections), eV for the cell shown: -16.22

abc: 4.3692 4.3692 2.5748
angles: 90.00 90.00 120.00
Last column: nearest neighbours and their distance in Å.
Space group P3m1 (No. 156)
Symmetry-distinct sites (fractional):
Cu 0.0000 0.0000 0.0000 x1  2 Cu 2.57, 3 Ag 2.59, 3 Ir 2.66
Ag 0.3333 0.6667 0.2293 x1  2 Ag 2.57, 3 Cu 2.59, 3 Ir 2.77
Ir 0.6667 0.3333 0.6736 x1  2 Ir 2.57, 3 Cu 2.66, 3 Ag 2.77



No. 14
DFT (PBEsol) results for Ti3AlAs after structural relaxation.

E_form, meV per atom: 683
Total DFT energy (no corrections), eV for the cell shown: -30.75

abc: 4.5953 4.5953 4.5953
angles: 90.00 90.00 90.00
Last column: nearest neighbours and their distance in Å.
Space group Pm-3m (No. 221)
Symmetry-distinct sites (fractional):
Ti 0.0000 0.0000 0.5000 x3  2 Al 2.30
Al 0.0000 0.0000 0.0000 x1  6 Ti 2.30
As 0.5000 0.5000 0.5000 x1  12 Ti 3.25



No. 15
DFT (PBEsol) results for AgSnSN2 after structural relaxation.

Formation energy without anion corrections, eV/atom: 1.43
Total DFT energy (no corrections), eV for the cell shown: -21.85

abc: 4.0884 4.0884 5.0011
angles: 90.00 90.00 90.00
Last column: nearest neighbours and their distance in Å.
Space group P4/mmm (No. 123)
Symmetry-distinct sites (fractional):
Ag 0.0000 0.0000 0.0000 x1  4 N 2.04
Sn 0.5000 0.5000 0.5000 x1  4 S 2.89, 8 N 3.23
S 0.0000 0.0000 0.5000 x1  2 Ag 2.50
N 0.0000 0.5000 0.0000 x2  2 Ag 2.04



No. 16
DFT (PBEsol) results for Si2MoAu after structural relaxation.

Formation energy without anion corrections, eV/atom: 0.08
Total DFT energy (no corrections), eV for the cell shown: -53.70

abc: 3.9116 3.9116 7.6481
angles: 90.00 90.00 90.00
Last column: nearest neighbours and their distance in Å.
Space group I4/mmm (No. 139)
Symmetry-distinct sites (fractional):
Si 0.0000 0.5000 0.2500 x4  4 Mo 2.74, 4 Au 2.74, 4 Si 2.77
Mo 0.0000 0.0000 0.0000 x2  8 Si 2.74, 4 Au 2.77
Au 0.0000 0.0000 0.5000 x2  8 Si 2.74, 4 Mo 2.77



No. 17
DFT (PBEsol) results for Sr2ScAu2 after structural relaxation.

E_form, meV per atom: -59
Total DFT energy (no corrections), eV for the cell shown: -36.86

abc: 4.7321 4.7321 12.9332
angles: 90.00 90.00 90.00
Last column: nearest neighbours and their distance in Å.
Space group I4/mmm (No. 139)
Symmetry-distinct sites (fractional):
Sr 0.0000 0.5000 0.2500 x4  4 Au 3.05, 4 Sr 3.35
Sc 0.0000 0.0000 0.0000 x2  8 Au 3.59, 8 Sr 4.01
Au 0.0000 0.0000 0.3994 x4  1 Au 2.60



No. 18
DFT (PBEsol) results for Cr3Fe3SiAs2 after structural relaxation.

Formation energy without anion corrections, eV/atom: -0.21
Total DFT energy (no corrections), eV for the cell shown: -75.47

abc: 5.8605 5.8605 3.6023
angles: 90.00 90.00 120.00
Last column: nearest neighbours and their distance in Å.
Space group P-62m (No. 189)
Symmetry-distinct sites (fractional):
Cr 0.0000 0.5852 0.0000 x3  1 Si 2.43, 4 As 2.52, 2 Fe 2.70
Fe 0.0000 0.2426 0.5000 x3  2 As 2.27, 2 Si 2.29, 2 Fe 2.46
Si 0.0000 0.0000 0.0000 x1  6 Fe 2.29, 3 Cr 2.43
As 0.3333 0.6667 0.5000 x2  3 Fe 2.27, 6 Cr 2.52



No. 19
DFT (PBEsol) results for RuRh2Cl after structural relaxation.

Formation energy without anion corrections, eV/atom: 0.31
Total DFT energy (no corrections), eV for the cell shown: -27.22

abc: 2.7622 2.7622 7.3465
angles: 90.00 90.00 90.00
Last column: nearest neighbours and their distance in Å.
Space group P4/mmm (No. 123)
Symmetry-distinct sites (fractional):
Ru 0.0000 0.0000 0.0000 x1  8 Rh 2.63, 4 Ru 2.76
Rh 0.5000 0.5000 0.2406 x2  4 Ru 2.63, 4 Cl 2.73, 4 Rh 2.76
Cl 0.0000 0.0000 0.5000 x1  8 Rh 2.73, 4 Cl 2.76



No. 20
DFT (PBEsol) results for LiCo2Ir after structural relaxation.

E_form, meV per atom: 91
Total DFT energy (no corrections), eV for the cell shown: -80.71

abc: 2.5877 2.5877 25.2188
angles: 90.00 90.00 120.00
Last column: nearest neighbours and their distance in Å.
Space group R3m (No. 160, hexagonal axes)
Symmetry-distinct sites (fractional):
Li 0.0000 0.0000 0.0000 x3  6 Li 2.59, 3 Co 2.67, 3 Ir 2.67
Co 0.0000 0.0000 0.2457 x3  9 Co 2.40-2.59, 3 Li 2.67
Co 0.0000 0.0000 0.5047 x3  9 Co 2.40-2.59, 3 Ir 2.59
Ir 0.0000 0.0000 0.7543 x3  3 Co 2.59, 6 Ir 2.59, 3 Li 2.67